Entry 1:
Here is TiP2O7 at its PBEsol-relaxed geometry from the Alexandria database. Energies are from SCAN.

abc: 7.177 8.174 9.380
angles: 90.00 109.42 90.00
Element x y z (fractional)
Ti (0.279, 0.509, 0.744)
Ti (0.279, 0.991, 0.244)
Ti (0.721, 0.009, 0.756)
Ti (0.721, 0.491, 0.256)
P (0.076, 0.763, 0.941)
P (0.076, 0.737, 0.441)
P (0.321, 0.197, 0.551)
P (0.679, 0.697, 0.949)
P (0.321, 0.303, 0.051)
P (0.679, 0.803, 0.449)
P (0.924, 0.263, 0.559)
P (0.924, 0.237, 0.059)
O (0.985, 0.907, 0.839)
O (0.191, 0.645, 0.876)
O (0.985, 0.593, 0.339)
O (0.100, 0.153, 0.542)
O (0.335, 0.329, 0.895)
O (0.204, 0.683, 0.598)
O (0.191, 0.855, 0.376)
O (0.356, 0.375, 0.604)
O (0.100, 0.347, 0.042)
O (0.335, 0.171, 0.395)
O (0.546, 0.581, 0.832)
O (0.204, 0.817, 0.098)
O (0.454, 0.081, 0.668)
O (0.644, 0.875, 0.896)
O (0.356, 0.125, 0.104)
O (0.546, 0.919, 0.332)
O (0.796, 0.183, 0.902)
O (0.454, 0.419, 0.168)
O (0.665, 0.829, 0.605)
O (0.900, 0.653, 0.958)
O (0.644, 0.625, 0.396)
O (0.809, 0.145, 0.624)
O (0.796, 0.317, 0.402)
O (0.665, 0.671, 0.105)
O (0.900, 0.847, 0.458)
O (0.015, 0.407, 0.661)
O (0.809, 0.355, 0.124)
O (0.015, 0.093, 0.161)

Values from the calculation:
Symmetry ... No. 14
Formation energy from raw total energies ... -2734 meV per atom
Relative energy among the computed polymorphs ... 0 meV per atom
Crystal system ... monoclinic
Total DFT energy (no corrections) ... -431.14 eV per cell

---

Entry 2:
Here is LiReSi2 at its PBEsol-relaxed geometry from the Alexandria database. Energies are from SCAN.

abc: 3.580 3.580 4.670
angles: 112.54 112.54 90.00
Each line ends with the local moment (μB).
Element x y z (fractional)
Re (0.250, 0.750, 0.500)  0.60
Si (0.000, 0.000, 0.000)  -0.01
Si (0.750, 0.250, 0.500)  0.00
Li (0.500, 0.500, 0.000)  0.00

Values from the calculation:
Symmetry ... No. 119
Formation energy from raw total energies ... 13 meV per atom
Relative energy among the computed polymorphs ... 159 meV per atom
Crystal system ... tetragonal
Total DFT energy (no corrections) ... -93.47 eV per cell

---

Entry 3:
Here is BaP2 at its PBEsol-relaxed geometry from the Alexandria database. Energies are from SCAN.

abc: 4.776 5.670 7.967
angles: 81.42 72.56 65.09
Element x y z (fractional)
P (0.432, 0.695, 0.441)
P (0.424, 0.317, 0.834)
P (0.576, 0.683, 0.166)
P (0.568, 0.305, 0.559)
Ba (0.232, 0.293, 0.244)
Ba (0.768, 0.707, 0.756)

Values from the calculation:
Symmetry ... No. 12
Energy of formation ... -825.7 meV per atom
Crystal system ... monoclinic
Total DFT energy (no corrections) ... -125.65 eV per cell

---

Entry 4:
Here is Ag2Pt at its PBEsol-relaxed geometry from the Alexandria database. Energies are from SCAN.

abc: 2.756 7.803 7.803
angles: 120.00 90.00 90.00
Element x y z (fractional)
Pt (0.500, 0.000, 0.000)
Pt (0.000, 0.667, 0.333)
Pt (0.000, 0.333, 0.667)
Ag (0.000, 0.305, 0.000)
Ag (0.500, 0.637, 0.000)
Ag (0.000, 0.000, 0.305)
Ag (0.500, 0.000, 0.637)
Ag (0.000, 0.695, 0.695)
Ag (0.500, 0.363, 0.363)

Values from the calculation:
Symmetry ... No. 189
Relative energy among the computed polymorphs ... 59 meV per atom
Energy of formation ... 49.5 meV per atom
Crystal system ... hexagonal
Total DFT energy (no corrections) ... -398.34 eV per cell

---

Entry 5:
Here is CoTc2Br at its PBEsol-relaxed geometry from the Alexandria database. Energies are from SCAN.

abc: 2.848 4.296 6.427
angles: 80.72 77.20 70.64
Each line ends with the local moment (μB).
Element x y z (fractional)
Co (0.000, 0.500, 0.500)  1.53
Tc (0.225, 0.896, 0.654)  -0.07
Tc (0.775, 0.104, 0.346)  -0.07
Br (0.500, 0.000, 0.000)  -0.01

Values from the calculation:
Symmetry ... No. 12
Formation energy from raw total energies ... 717 meV per atom
Relative energy among the computed polymorphs ... 0 meV per atom
Crystal system ... monoclinic
Total DFT energy (no corrections) ... -104.01 eV per cell

---

Entry 6:
Here is CaTiFe3 at its PBEsol-relaxed geometry from the Alexandria database. Energies are from SCAN.

abc: 4.404 4.404 4.404
angles: 90.00 90.00 90.00
Each line ends with the local moment (μB).
Element x y z (fractional)
Ca (0.500, 0.500, 0.500)  -0.04
Fe (0.000, 0.500, 0.000)  2.38
Fe (0.000, 0.000, 0.500)  2.38
Fe (0.500, 0.000, 0.000)  2.38
Ti (0.000, 0.000, 0.000)  -1.06

Values from the calculation:
Symmetry ... No. 221
Relative energy among the computed polymorphs ... 0 meV per atom
Energy of formation ... 793.4 meV per atom
Crystal system ... cubic
Total DFT energy (no corrections) ... -76.12 eV per cell

---

Entry 7:
Here is TePI2F at its PBEsol-relaxed geometry from the Alexandria database. Energies are from SCAN.

abc: 4.157 5.607 5.607
angles: 90.00 90.00 90.00
Element x y z (fractional)
I (0.000, 0.000, 0.500)
I (0.000, 0.500, 0.000)
P (0.500, 0.500, 0.500)
Te (0.500, 0.000, 0.000)
F (0.000, 0.000, 0.000)

Values from the calculation:
Symmetry ... No. 123
Formation energy from raw total energies ... 591 meV per atom
Crystal system ... tetragonal
Total DFT energy (no corrections) ... -121.72 eV per cell

---

Entry 8:
Here is MgSiPb at its PBEsol-relaxed geometry from the Alexandria database. Energies are from SCAN.

abc: 3.892 4.569 4.569
angles: 120.00 90.00 90.00
Element x y z (fractional)
Mg (0.165, 0.000, 0.000)
Pb (0.666, 0.667, 0.333)
Si (0.169, 0.333, 0.667)

Values from the calculation:
Symmetry ... No. 156
Formation energy from raw total energies ... 322 meV per atom
Relative energy among the computed polymorphs ... 0 meV per atom
Crystal system ... trigonal
Total DFT energy (no corrections) ... -89.81 eV per cell

---

Entry 9:
Here is CoNi2As at its PBEsol-relaxed geometry from the Alexandria database. Energies are from SCAN.

abc: 2.645 3.720 4.814
angles: 90.00 103.16 90.00
Each line ends with the local moment (μB).
Element x y z (fractional)
Ni (0.106, 0.000, 0.752)  0.40
Ni (0.894, 0.000, 0.248)  0.40
As (0.500, 0.500, 0.000)  0.01
Co (0.500, 0.500, 0.500)  1.69

Values from the calculation:
Symmetry ... No. 10
Energy of formation ... 48.7 meV per atom
Crystal system ... monoclinic
Total DFT energy (no corrections) ... -69.65 eV per cell

---

Entry 10:
Here is LaAs2Rh at its PBEsol-relaxed geometry from the Alexandria database. Energies are from SCAN.

abc: 4.068 4.068 6.035
angles: 70.31 70.31 60.00
Element x y z (fractional)
As (0.774, 0.774, 0.677)
As (0.226, 0.226, 0.323)
Rh (0.500, 0.500, 0.500)
La (0.000, 0.000, 0.000)

Values from the calculation:
Symmetry ... No. 166
Energy of formation ... -1129.5 meV per atom
Crystal system ... trigonal
Total DFT energy (no corrections) ... -121.78 eV per cell

---

Entry 11:
Here is AlAu3Cl at its PBEsol-relaxed geometry from the Alexandria database. Energies are from SCAN.

abc: 4.823 4.823 4.823
angles: 90.00 90.00 90.00
Element x y z (fractional)
Au (0.000, 0.500, 0.000)
Au (0.000, 0.000, 0.500)
Au (0.500, 0.000, 0.000)
Al (0.500, 0.500, 0.500)
Cl (0.000, 0.000, 0.000)

Values from the calculation:
Symmetry ... No. 221
Formation energy from raw total energies ... 999 meV per atom
Relative energy among the computed polymorphs ... 656 meV per atom
Crystal system ... cubic
Total DFT energy (no corrections) ... -218.20 eV per cell

---

Entry 12:
Here is Ba2MnB6O12 at its PBEsol-relaxed geometry from the Alexandria database. Energies are from SCAN.

abc: 6.931 6.931 6.931
angles: 61.63 61.63 61.63
Each line ends with the local moment (μB).
Element x y z (fractional)
Ba (0.789, 0.789, 0.789)  0.00
Ba (0.211, 0.211, 0.211)  0.00
Mn (0.000, 0.000, 0.000)  4.59
B (0.636, 0.243, 0.360)  0.01
B (0.243, 0.360, 0.636)  0.01
B (0.360, 0.636, 0.243)  0.01
B (0.640, 0.364, 0.757)  0.01
B (0.364, 0.757, 0.640)  0.01
B (0.757, 0.640, 0.364)  0.01
O (0.424, 0.538, 0.803)  0.00
O (0.462, 0.197, 0.576)  0.00
O (0.197, 0.576, 0.462)  0.00
O (0.803, 0.424, 0.538)  0.00
O (0.576, 0.462, 0.197)  0.00
O (0.538, 0.803, 0.424)  0.00
O (0.679, 0.157, 0.917)  0.02
O (0.917, 0.679, 0.157)  0.02
O (0.157, 0.917, 0.679)  0.02
O (0.321, 0.843, 0.083)  0.02
O (0.083, 0.321, 0.843)  0.02
O (0.843, 0.083, 0.321)  0.02

Values from the calculation:
Symmetry ... No. 148
Formation energy from raw total energies ... -2787 meV per atom
Crystal system ... trigonal
Total DFT energy (no corrections) ... -275.23 eV per cell